## Zn2RuBr (PBE)

Data for Zn2RuBr after structural relaxation.

a b c (Å): 3.8340 3.8340 8.8194
angles (deg): 90.00 90.00 90.00
Element x y z (fractional)
Zn: 0.0000 0.5000 0.2500
Zn: 0.0000 0.5000 0.7500
Zn: 0.5000 0.0000 0.2500
Zn: 0.5000 0.0000 0.7500
Ru: 0.0000 0.0000 0.0000
Ru: 0.5000 0.5000 0.5000
Br: 0.0000 0.0000 0.5000
Br: 0.5000 0.5000 0.0000

As for the energy relative to the elements, uncorrected: 0.49 eV per atom. Its excess energy over the best structure of this formula in the dataset is 1.47 eV per formula unit.


## ErMgBeAg (PBE)

Data for ErMgBeAg after structural relaxation.

a b c (Å): 6.7337 6.7337 6.7337
angles (deg): 90.00 90.00 90.00
Element x y z (fractional)
Er: 0.0000 0.0000 0.0000
Er: 0.0000 0.5000 0.5000
Er: 0.5000 0.0000 0.5000
Er: 0.5000 0.5000 0.0000
Mg: 0.0000 0.0000 0.5000
Mg: 0.0000 0.5000 0.0000
Mg: 0.5000 0.0000 0.0000
Mg: 0.5000 0.5000 0.5000
Be: 0.2500 0.2500 0.2500
Be: 0.2500 0.7500 0.7500
Be: 0.7500 0.2500 0.7500
Be: 0.7500 0.7500 0.2500
Ag: 0.2500 0.2500 0.7500
Ag: 0.2500 0.7500 0.2500
Ag: 0.7500 0.2500 0.2500
Ag: 0.7500 0.7500 0.7500

The value obtained for the calculated formation energy is -0.058 eV per atom.


Number 1: uncorrected energy -23.09 eV for the cell shown, D(E_F) 0.75 states/eV per atom. Number 2: uncorrected energy -51.87 eV for the cell shown, D(E_F) 0.26 states/eV per atom.